10
Lattice="6.091 0.000 0.000 0.000 6.091 0.000 0.000 0.000 2.957" Properties=species:S:1:pos:R:3 comment="MnNb2N2 (PBE, optimized geometry)" raw_formation_energy_mev_per_atom=-335 dft_energy_ev_per_cell=-95.26 de_polymorph_mev_per_atom=139 dos_at_fermi_per_ev_fu=2.7 pbc="T T T"
Mn 0.000 0.000 0.000
Mn 3.046 3.046 0.000
Nb 0.980 2.065 1.478
Nb 2.065 5.111 1.478
Nb 4.026 0.980 1.478
Nb 5.111 4.026 1.478
N 0.925 3.971 0.000
N 2.120 0.925 0.000
N 3.971 5.166 0.000
N 5.166 2.120 0.000



4
Lattice="1.757 1.015 9.220 -1.757 1.015 9.220 0.000 -2.029 9.220" Properties=species:S:1:pos:R:3 comment="LuThZn2 (PBE, optimized geometry)" dft_energy_ev_per_cell=-14.75 delta_e_f_mev_per_atom=-66 de_polymorph_mev_per_atom=191 dos_at_fermi_per_ev_fu=4.3 pbc="T T T"
Lu 0.000 0.000 0.000
Th 0.000 0.000 13.831
Zn 0.000 0.000 7.057
Zn 0.000 0.000 20.604